Compound: K2Ge7Rh12
Source: Alexandria
Functional: PBE
Structure: optimized geometry

Cell: 9.9952 9.9952 3.9721 Å, 90.00 90.00 120.00°
Closest atoms and distances in Å follow each position.
Atoms (fractional coordinates):
K1 0.0000 0.0000 0.0000  6 Ge 3.16, 9 Rh 3.24-3.44
K2 0.3333 0.6667 0.5000  6 Ge 3.20, 12 Rh 3.29-3.51
Ge1 0.0646 0.6260 0.0000  7 Rh 2.50-2.62
Ge2 0.2660 0.0464 0.5000  5 Rh 2.42-2.54
Ge3 0.3740 0.4386 0.0000  7 Rh 2.50-2.62
Ge4 0.5614 0.9354 0.0000  7 Rh 2.50-2.62
Ge5 0.6667 0.3333 0.5000  3 Rh 2.39
Ge6 0.7804 0.7340 0.5000  5 Rh 2.42-2.54
Ge7 0.9536 0.2196 0.5000  5 Rh 2.42-2.54
Rh1 0.0446 0.7694 0.5000  4 Ge 2.48-2.54, 1 Rh 2.77
Rh2 0.0994 0.3834 0.0000  4 Ge 2.51-2.62
Rh3 0.2306 0.2752 0.5000  4 Ge 2.48-2.54, 1 Rh 2.77
Rh4 0.2840 0.9006 0.0000  4 Ge 2.51-2.62
Rh5 0.4528 0.2371 0.0000  5 Ge 2.50-2.74
Rh6 0.5142 0.0582 0.5000  4 Ge 2.39-2.50
Rh7 0.5440 0.4858 0.5000  4 Ge 2.39-2.50
Rh8 0.6166 0.7160 0.0000  4 Ge 2.51-2.62
Rh9 0.7248 0.9554 0.5000  4 Ge 2.48-2.54, 1 Rh 2.77
Rh10 0.7629 0.2157 0.0000  5 Ge 2.50-2.74
Rh11 0.7843 0.5472 0.0000  5 Ge 2.50-2.74
Rh12 0.9418 0.4560 0.5000  4 Ge 2.39-2.50

Values from the calculation:
* spin magnetization: 0.0 μB per cell
* calculated formation energy: -0.414 eV/atom